Entry 1:
Computed, not measured: BaMgPCl2 after structural relaxation at the PBE level of DFT.

Lattice parameters (Å, degrees): 5.896 5.896 6.559 90.00 90.00 90.00
Site moments in Bohr magnetons follow the coordinates.
Atoms (fractional coordinates):
Cl 0.000 0.500 0.000  0.01
Mg 0.500 0.500 0.500  -0.07
Ba 0.000 0.000 0.000  0.01
Cl 0.500 0.000 0.000  0.01
P 0.000 0.000 0.500  0.77

SG: No. 123
Total magnetization: 1.7 Bohr magnetons per cell
Theoretical density: 1.92 Mg/m³
Raw formation energy: -492.0 meV per atom

Entry 2:
Computed, not measured: SrH2Br2O after structural relaxation at the PBE level of DFT.

Lattice parameters (Å, degrees): 4.324 9.463 11.528 90.00 90.00 90.00
Atoms (fractional coordinates):
H 0.750 0.164 0.603
Br 0.750 0.615 0.397
Sr 0.750 0.606 0.690
Br 0.250 0.665 0.115
Sr 0.250 0.106 0.810
H 0.750 0.336 0.103
Sr 0.750 0.894 0.190
Br 0.250 0.835 0.615
Br 0.750 0.165 0.385
H 0.250 0.505 0.866
H 0.250 0.995 0.366
Br 0.250 0.115 0.103
Br 0.250 0.385 0.603
H 0.750 0.005 0.634
H 0.750 0.495 0.134
O 0.750 0.099 0.670
O 0.250 0.901 0.330
Br 0.750 0.885 0.897
O 0.250 0.599 0.830
Br 0.750 0.335 0.885
Sr 0.250 0.394 0.310
H 0.250 0.836 0.397
H 0.250 0.664 0.897
O 0.750 0.401 0.170

SG: No. 62
Total magnetization: 0.0 Bohr magnetons per cell
Theoretical density: 3.74 Mg/m³
Final energy: -4.3784 eV/atom

Entry 3:
Computed, not measured: LiLa4Pd2 after structural relaxation at the PBE level of DFT.

Lattice parameters (Å, degrees): 5.134 5.134 9.401 74.15 74.15 60.00
Atoms (fractional coordinates):
Pd 0.595 0.595 0.214
La 0.118 0.118 0.645
Li 0.500 0.500 0.500
La 0.290 0.290 0.131
La 0.710 0.710 0.869
Pd 0.405 0.405 0.786
La 0.882 0.882 0.355

SG: No. 166
DFT formation energy: -0.350 eV/atom
Total magnetization: 0.0 Bohr magnetons per cell
Theoretical density: 6.32 Mg/m³

Question: Number 2 is which compound?
Answer: SrH2Br2O

Question: Look up the theoretical density of the first one.
Answer: 1.92 Mg/m³

Question: Look up the theoretical density of the first one.
Answer: 1.92 Mg/m³